This record from the Alexandria database describes a crystal of LaInCl2 relaxed with PBEsol. The functional is meta-GGA SCAN.

Structure (extended XYZ):
```
4
Lattice="-1.297 1.515 -3.467 2.512 -3.887 -2.638 -3.468 -3.616 2.024" Properties=species:S:1:pos:R:3 pbc="T T T"
Cl -3.225 -1.031 -1.551
Cl -0.576 -3.215 -1.190
In -0.918 0.571 -1.715
La -2.966 -3.667 -2.800
```

As for the energy relative to the elements, uncorrected: -1.52 eV/atom. Its total magnetic moment is 0.00 μB per cell. As for the space group: Amm2 (38).